[1]
Density functional theory data (PBE-GGA) for crystalline ZnHgS2 at its relaxed geometry.

abc: 7.5383 3.9028 14.3995
angles: 90.00 109.68 90.00
Space group P2_1/c (No. 14)
Symmetry-distinct sites (fractional):
Zn 0.2411 0.2419 0.3303 (multiplicity 4)
Hg 0.3950 0.7424 0.1208 (multiplicity 4)
S 0.1446 0.2427 0.1585 (multiplicity 4)
S 0.1543 0.7424 0.3990 (multiplicity 4)

Calculated values
ΔE_f (raw) = -185 meV/atom
Size of the total moment = 0.000 μB/f.u.
Total energy = -2.643 eV per atom

[2]
Density functional theory data (PBE-GGA) for crystalline Tc2Se at its relaxed geometry.

abc: 10.6554 3.0590 5.7662
angles: 90.00 102.75 90.00
Space group C2/m (No. 12)
Symmetry-distinct sites (fractional):
Tc 0.0376 0.0000 0.2988 (multiplicity 4)
Tc 0.1869 0.5000 0.6369 (multiplicity 4)
Se 0.1464 0.5000 0.0683 (multiplicity 4)

Calculated values
ΔE_f (raw) = 42 meV/atom
Size of the total moment = 0.000 μB/f.u.
Total energy = -8.030 eV per atom

[3]
Density functional theory data (PBE-GGA) for crystalline Mo5As3 at its relaxed geometry.

abc: 6.8322 8.2484 4.3953
angles: 90.00 90.00 90.00
Space group Cmmm (No. 65)
Symmetry-distinct sites (fractional):
Mo 0.0000 0.0000 0.0000 (multiplicity 2)
Mo 0.2019 0.5000 0.5000 (multiplicity 4)
Mo 0.2500 0.2500 0.0000 (multiplicity 4)
As 0.0000 0.2133 0.5000 (multiplicity 4)
As 0.0000 0.5000 0.0000 (multiplicity 2)

Calculated values
Size of the total moment = 0.000 μB/f.u.
Total energy = -8.426 eV per atom

[4]
Density functional theory data (PBE-GGA) for crystalline AlFe2As at its relaxed geometry.

abc: 8.0870 2.9348 4.5353
angles: 90.00 100.08 90.00
Space group C2/m (No. 12)
Symmetry-distinct sites (fractional):
Al 0.0000 0.0000 0.0000 (multiplicity 2)
Fe 0.2494 0.0000 0.7509 (multiplicity 4)
As 0.0000 0.5000 0.5000 (multiplicity 2)

Calculated values
Size of the total moment = 3.874 μB/f.u.
Total energy = -6.338 eV per atom

[5]
Density functional theory data (PBE-GGA) for crystalline La3PaTe6 at its relaxed geometry.

abc: 12.5121 15.3167 7.8118
angles: 90.00 90.00 90.00
Space group Cmc2_1 (No. 36)
Symmetry-distinct sites (fractional):
La 0.0000 0.0957 0.0000 (multiplicity 4)
La 0.1851 0.3987 0.8837 (multiplicity 8)
Pa 0.0000 0.3405 0.3767 (multiplicity 4)
Te 0.0000 0.2653 0.7349 (multiplicity 4)
Te 0.0000 0.4945 0.1213 (multiplicity 4)
Te 0.1638 0.0358 0.6952 (multiplicity 8)
Te 0.1659 0.2391 0.1777 (multiplicity 8)

Calculated values
ΔE_f (raw) = -1262 meV/atom
Size of the total moment = 2.042 μB/f.u.
Total energy = -5.575 eV per atom

[6]
Density functional theory data (PBE-GGA) for crystalline TaVPdS4 at its relaxed geometry.

abc: 7.0919 7.3726 9.9639
angles: 90.00 90.00 90.00
Space group Imma (No. 74)
Symmetry-distinct sites (fractional):
Ta 0.2500 0.2500 0.2500 (multiplicity 4)
V 0.0000 0.0000 0.0000 (multiplicity 4)
Pd 0.0000 0.2500 0.6252 (multiplicity 4)
S 0.0000 0.0142 0.2450 (multiplicity 8)
S 0.2251 0.2500 0.0037 (multiplicity 8)

Calculated values
ΔE_f (raw) = -765 meV/atom
Size of the total moment = 1.762 μB/f.u.
Total energy = -6.861 eV per atom

[7]
Density functional theory data (PBE-GGA) for crystalline SrIrCl at its relaxed geometry.

abc: 4.2975 4.2975 8.3863
angles: 90.00 90.00 120.00
Space group P6_3/mmc (No. 194)
Symmetry-distinct sites (fractional):
Sr 0.0000 0.0000 0.0000 (multiplicity 2)
Ir 0.3333 0.6667 0.2500 (multiplicity 2)
Cl 0.3333 0.6667 0.7500 (multiplicity 2)

Calculated values
ΔE_f (raw) = -226 meV/atom
Size of the total moment = 0.000 μB/f.u.
Total energy = -4.356 eV per atom

[8]
Density functional theory data (PBE-GGA) for crystalline Nd2As3Pt4Au at its relaxed geometry.

abc: 4.3745 4.3745 10.5165
angles: 90.00 90.00 90.00
Space group P-4m2 (No. 115)
Symmetry-distinct sites (fractional):
Nd 0.0000 0.5000 0.2452 (multiplicity 2)
As 0.0000 0.5000 0.8733 (multiplicity 2)
As 0.5000 0.5000 0.5000 (multiplicity 1)
Pt 0.0000 0.0000 0.0000 (multiplicity 1)
Pt 0.0000 0.5000 0.6458 (multiplicity 2)
Pt 0.5000 0.5000 0.0000 (multiplicity 1)
Au 0.0000 0.0000 0.5000 (multiplicity 1)

Calculated values
Size of the total moment = 0.000 μB/f.u.
Total energy = -5.861 eV per atom